# 1
The following is a PBE calculation of a geometry-optimized Na2PuTeO6 structure, from the Alexandria database.

Summary:
DOS at the Fermi energy in states/eV/f.u.: 6.2
Total magnetization in μB per formula unit: 3.0
Formation energy without anion corrections in eV per atom: -1.826

Cell and atoms, written as POSCAR:
```
Na2PuTeO6
1.0
5.891 0.000 0.000
0.000 5.891 0.000
0.000 0.000 4.165
Na Pu Te O
2 1 1 6
Direct
0.000 0.500 0.000
0.500 0.000 0.000
0.000 0.000 0.556
0.500 0.500 0.550
0.000 0.000 0.058
0.255 0.255 0.571
0.255 0.745 0.571
0.500 0.500 0.066
0.745 0.255 0.571
0.745 0.745 0.571
```

***

# 2
The following is a PBE calculation of a geometry-optimized Na2PuThO6 structure, from the Alexandria database.

Summary:
DOS at the Fermi energy in states/eV/f.u.: 3.2
Total magnetization in μB per formula unit: 2.0
Formation energy without anion corrections in eV per atom: -2.606

Cell and atoms, written as POSCAR:
```
Na2PuThO6
1.0
6.168 0.000 0.000
0.000 6.168 0.000
0.000 0.000 4.379
Na Pu Th O
2 1 1 6
Direct
0.000 0.500 0.000
0.500 0.000 0.000
0.000 0.000 0.649
0.500 0.500 0.612
0.000 0.000 0.148
0.233 0.233 0.667
0.233 0.767 0.667
0.500 0.500 0.116
0.767 0.233 0.667
0.767 0.767 0.667
```

***

# 3
The following is a PBE calculation of a geometry-optimized Na3Pu3TiO8 structure, from the Alexandria database.

Summary:
DOS at the Fermi energy in states/eV/f.u.: 16.2
Total magnetization in μB per formula unit: 15.0
Formation energy without anion corrections in eV per atom: -2.541

Cell and atoms, written as POSCAR:
```
Na3Pu3TiO8
1.0
3.389 1.957 5.609
-3.389 1.957 5.609
0.000 -3.913 5.609
Na Pu Ti O
3 3 1 8
Direct
0.000 0.500 0.500
0.500 0.000 0.500
0.500 0.500 0.000
0.000 0.000 0.500
0.000 0.500 0.000
0.500 0.000 0.000
0.500 0.500 0.500
0.241 0.241 0.241
0.268 0.714 0.714
0.286 0.286 0.732
0.286 0.732 0.286
0.714 0.268 0.714
0.714 0.714 0.268
0.732 0.286 0.286
0.759 0.759 0.759
```

***

# 4
The following is a PBE calculation of a geometry-optimized NaPuTi2O8 structure, from the Alexandria database.

Summary:
Total magnetization in μB per formula unit: 1.0
Formation energy without anion corrections in eV per atom: -2.543

Cell and atoms, written as POSCAR:
```
NaPuTi2O8
1.0
3.812 -3.201 0.000
3.812 3.201 0.000
-1.083 0.000 6.889
Na Pu Ti O
1 1 2 8
Direct
0.000 0.000 0.000
0.000 0.000 0.500
0.462 0.462 0.798
0.538 0.538 0.202
0.222 0.770 0.716
0.230 0.778 0.284
0.248 0.248 0.556
0.336 0.336 0.998
0.664 0.664 0.002
0.752 0.752 0.444
0.770 0.222 0.716
0.778 0.230 0.284
```

***

# 5
The following is a PBE calculation of a geometry-optimized NaPuTiO5 structure, from the Alexandria database.

Summary:
DOS at the Fermi energy in states/eV/f.u.: 6.5
Total magnetization in μB per formula unit: 3.0
Formation energy without anion corrections in eV per atom: -2.702

Cell and atoms, written as POSCAR:
```
NaPuTiO5
1.0
3.840 -4.647 0.000
3.840 4.647 0.000
-3.461 0.000 7.134
Na Pu Ti O
2 2 2 10
Direct
0.177 0.823 0.750
0.823 0.177 0.250
0.500 0.500 0.000
0.500 0.500 0.500
0.167 0.833 0.250
0.833 0.167 0.750
0.152 0.236 0.885
0.218 0.659 0.407
0.236 0.152 0.385
0.341 0.782 0.093
0.430 0.570 0.750
0.570 0.430 0.250
0.659 0.218 0.907
0.764 0.848 0.615
0.782 0.341 0.593
0.848 0.764 0.115
```

***

# 6
The following is a PBE calculation of a geometry-optimized NaPuTiO6 structure, from the Alexandria database.

Summary:
Total magnetization in μB per formula unit: 1.0
Formation energy without anion corrections in eV per atom: -2.448

Cell and atoms, written as POSCAR:
```
NaPuTiO6
1.0
5.365 0.000 0.000
-2.682 4.646 0.000
0.000 0.000 10.252
Na Pu Ti O
2 2 2 12
Direct
0.000 0.000 0.000
0.000 0.000 0.500
0.333 0.667 0.250
0.667 0.333 0.750
0.333 0.667 0.750
0.667 0.333 0.250
0.004 0.374 0.647
0.004 0.630 0.853
0.370 0.374 0.853
0.370 0.996 0.647
0.374 0.004 0.147
0.374 0.370 0.353
0.626 0.630 0.647
0.626 0.996 0.853
0.630 0.004 0.353
0.630 0.626 0.147
0.996 0.370 0.147
0.996 0.626 0.353
```

***

# 7
The following is a PBE calculation of a geometry-optimized NaPuTiO4 structure, from the Alexandria database.

Summary:
DOS at the Fermi energy in states/eV/f.u.: 5.3
Total magnetization in μB per formula unit: 5.0
Formation energy without anion corrections in eV per atom: -2.714

Cell and atoms, written as POSCAR:
```
NaPuTiO4
1.0
-3.089 3.509 4.614
3.089 -3.509 4.614
3.089 3.509 -4.614
Na Pu Ti O
2 2 2 8
Direct
0.381 0.131 0.250
0.619 0.869 0.750
0.000 0.500 0.500
0.500 0.500 0.000
0.000 0.000 0.500
0.000 0.500 0.000
0.188 0.744 0.444
0.199 0.256 0.944
0.219 0.240 0.521
0.219 0.698 0.979
0.781 0.302 0.021
0.781 0.760 0.479
0.801 0.744 0.056
0.812 0.256 0.556
```

***

# 8
The following is a PBE calculation of a geometry-optimized NaPu3Tl4O12 structure, from the Alexandria database.

Summary:
DOS at the Fermi energy in states/eV/f.u.: 7.2
Total magnetization in μB per formula unit: 5.0
Formation energy without anion corrections in eV per atom: -1.953

Cell and atoms, written as POSCAR:
```
NaPu3Tl4O12
1.0
-4.352 4.352 4.352
4.352 -4.352 4.352
4.352 4.352 -4.352
Na Pu Tl O
1 3 4 12
Direct
0.000 0.000 0.000
0.000 0.500 0.500
0.500 0.000 0.500
0.500 0.500 0.000
0.000 0.000 0.500
0.000 0.500 0.000
0.500 0.000 0.000
0.500 0.500 0.500
0.000 0.284 0.284
0.000 0.716 0.716
0.250 0.500 0.750
0.250 0.750 0.500
0.284 0.000 0.284
0.284 0.284 0.000
0.500 0.250 0.750
0.500 0.750 0.250
0.716 0.000 0.716
0.716 0.716 0.000
0.750 0.250 0.500
0.750 0.500 0.250
```